The following is a DFT calculation (SCAN) of a crystal of Zr2NiPb relaxed with PBEsol.

Unit cell a=4.199 b=4.199 c=4.300 alpha=90.00 beta=90.00 gamma=90.00
Fractional coordinates of all 4 atoms:
Ni 0.500 0.500 0.500
Zr 0.500 0.000 0.000
Zr 0.000 0.500 0.000
Pb 0.000 0.000 0.500

Computed properties:
- Energy relative to the elements: -0.9 eV per formula unit
- D(E_F): 3.36 states/eV/cell
- Magnetization: 0.00 μB/f.u.
- V: 18.95 A^3/atom

=====

The following is a DFT calculation (SCAN) of a crystal of MoPt2W relaxed with PBEsol.

Unit cell a=2.706 b=4.905 c=4.905 alpha=113.17 beta=90.00 gamma=90.00
Fractional coordinates of all 4 atoms:
W 0.500 0.000 0.000
Pt 0.000 0.000 0.500
Pt 0.000 0.500 0.000
Mo 0.500 0.500 0.500

Computed properties:
- Energy relative to the elements: -1.2 eV per formula unit
- D(E_F): 2.80 states/eV/cell
- Magnetization: 0.00 μB/f.u.
- V: 14.96 A^3/atom

=====

The following is a DFT calculation (SCAN) of a crystal of TaNiRh2 relaxed with PBEsol.

Unit cell a=2.756 b=3.720 c=5.349 alpha=90.00 beta=90.00 gamma=90.00
Each line ends with the local moment (μB).
Fractional coordinates of all 4 atoms:
Ni 0.000 0.500 0.238  0.59
Rh 0.000 0.500 0.752  0.13
Rh 0.500 0.000 0.018  0.42
Ta 0.500 0.000 0.491  -0.02

Computed properties:
- Energy relative to the elements: -1.3 eV per formula unit
- D(E_F): 3.07 states/eV/cell
- Magnetization: 1.03 μB/f.u.
- V: 13.71 A^3/atom

=====

The following is a DFT calculation (SCAN) of a crystal of LiCdPt relaxed with PBEsol.

Unit cell a=2.823 b=4.353 c=4.353 alpha=120.00 beta=90.00 gamma=90.00
Fractional coordinates of all 3 atoms:
Li 0.628 0.333 0.667
Pt 0.409 0.667 0.333
Cd 0.962 0.000 0.000

Computed properties:
- Energy relative to the elements: -1.5 eV per formula unit
- D(E_F): 0.79 states/eV/cell
- Magnetization: 0.00 μB/f.u.
- V: 15.44 A^3/atom

=====

The following is a DFT calculation (SCAN) of a crystal of Te2IrAu relaxed with PBEsol.

Unit cell a=3.163 b=5.010 c=5.010 alpha=90.00 beta=90.00 gamma=90.00
Fractional coordinates of all 4 atoms:
Te 0.000 0.500 0.000
Te 0.000 0.000 0.500
Au 0.500 0.500 0.500
Ir 0.500 0.000 0.000

Computed properties:
- D(E_F): 2.00 states/eV/cell
- DFT total energy: -53.152 eV per atom
- Magnetization: 0.00 μB/f.u.
- V: 19.85 A^3/atom

=====

The following is a DFT calculation (SCAN) of a crystal of CrIr2W relaxed with PBEsol.

Unit cell a=2.705 b=3.777 c=5.398 alpha=90.00 beta=90.00 gamma=90.00
Each line ends with the local moment (μB).
Fractional coordinates of all 4 atoms:
Cr 0.500 0.500 0.500  0.77
Ir 0.000 0.000 0.741  -0.06
Ir 0.000 0.000 0.259  -0.06
W 0.500 0.500 0.000  -0.10

Computed properties:
- Energy relative to the elements: -1.2 eV per formula unit
- D(E_F): 2.64 states/eV/cell
- Magnetization: 0.54 μB/f.u.
- V: 13.79 A^3/atom

=====

The following is a DFT calculation (SCAN) of a crystal of YAs2Os relaxed with PBEsol.

Unit cell a=3.186 b=3.710 c=6.126 alpha=90.00 beta=90.00 gamma=90.00
Fractional coordinates of all 4 atoms:
As 0.000 0.000 0.011
As 0.500 0.500 0.286
Y 0.500 0.500 0.769
Os 0.000 0.000 0.434

Computed properties:
- Energy relative to the elements: -1.2 eV per formula unit
- D(E_F): 1.98 states/eV/cell
- Magnetization: 0.00 μB/f.u.
- V: 18.10 A^3/atom

=====

The following is a DFT calculation (SCAN) of a crystal of Al5Ag7 relaxed with PBEsol.

Unit cell a=2.975 b=7.687 c=9.304 alpha=114.40 beta=90.00 gamma=90.00
Fractional coordinates of all 12 atoms:
Al 0.500 0.842 0.683
Al 0.500 0.002 0.003
Al 0.000 0.181 0.833
Al 0.000 0.652 0.833
Al 0.500 0.659 0.318
Ag 0.000 0.528 0.504
Ag 0.000 0.976 0.504
Ag 0.500 0.497 0.995
Ag 0.000 0.327 0.161
Ag 0.000 0.835 0.161
Ag 0.500 0.170 0.340
Ag 0.500 0.332 0.664

Computed properties:
- Energy relative to the elements: -1.0 eV per formula unit
- D(E_F): 2.86 states/eV/cell
- Magnetization: 0.01 μB/f.u.
- V: 16.15 A^3/atom

=====

The following is a DFT calculation (SCAN) of a crystal of AgIrAu relaxed with PBEsol.

Unit cell a=2.772 b=2.772 c=7.054 alpha=90.00 beta=90.00 gamma=120.00
Each line ends with the local moment (μB).
Fractional coordinates of all 3 atoms:
Ir 0.667 0.333 0.332  0.47
Ag 0.000 0.000 0.003  0.01
Au 0.333 0.667 0.665  0.02

Computed properties:
- Energy relative to the elements: 0.8 eV per formula unit
- D(E_F): 1.79 states/eV/cell
- Magnetization: 0.47 μB/f.u.
- V: 15.65 A^3/atom

=====

The following is a DFT calculation (SCAN) of a crystal of AlNi3C relaxed with PBEsol.

Unit cell a=3.722 b=3.722 c=3.722 alpha=90.00 beta=90.00 gamma=90.00
Fractional coordinates of all 5 atoms:
C 0.500 0.500 0.500
Ni 0.500 0.500 0.000
Ni 0.500 0.000 0.500
Ni 0.000 0.500 0.500
Al 0.000 0.000 0.000

Computed properties:
- Energy relative to the elements: -1.0 eV per formula unit
- D(E_F): 1.80 states/eV/cell
- Magnetization: 0.00 μB/f.u.
- V: 10.31 A^3/atom

=====

The following is a DFT calculation (SCAN) of a crystal of FeReSi relaxed with PBEsol.

Unit cell a=3.859 b=3.859 c=3.859 alpha=60.00 beta=60.00 gamma=60.00
Fractional coordinates of all 3 atoms:
Si 0.500 0.500 0.500
Fe 0.250 0.250 0.250
Re 0.000 0.000 0.000

Computed properties:
- D(E_F): 2.33 states/eV/cell
- DFT total energy: -33.143 eV per atom
- Magnetization: 0.00 μB/f.u.
- V: 13.55 A^3/atom

=====

The following is a DFT calculation (SCAN) of a crystal of Pd3PtRh relaxed with PBEsol.

Unit cell a=4.608 b=4.608 c=4.608 alpha=90.00 beta=90.00 gamma=90.00
Each line ends with the local moment (μB).
Fractional coordinates of all 5 atoms:
Pt 0.500 0.500 0.500  0.05
Pd 0.500 0.000 0.000  0.31
Pd 0.000 0.500 0.000  0.31
Pd 0.000 0.000 0.500  0.31
Rh 0.000 0.000 0.000  1.10

Computed properties:
- Energy relative to the elements: 7.3 eV per formula unit
- D(E_F): 4.47 states/eV/cell
- Magnetization: 2.03 μB/f.u.
- V: 19.56 A^3/atom